The following is a PBE-GGA calculation of an optimized crystal structure of CaNb2Sn, from Alexandria.

a = 8.188 Å, b = 8.188 Å, c = 6.461 Å
α = 50.68°, β = 50.68°, γ = 90.00°
Element x y z (fractional)
Nb (0.875, 0.911, 0.750)
Nb (0.661, 0.125, 0.250)
Nb (0.375, 0.339, 0.750)
Ca (0.250, 0.750, 0.500)
Sn (0.000, 0.000, 0.000)
Nb (0.089, 0.625, 0.250)
Sn (0.750, 0.250, 0.500)
Ca (0.500, 0.500, 0.000)

Values from the calculation:
DFT formation energy, kJ/mol of formula units: 258
Total energy, eV per atom: -5.87
Total magnetic moment, μB/atom: 0.000